VASP calculation (PBE-GGA) on crystalline Tb6Pd5Au at its relaxed geometry.

Summary:
For the calculated formation energy, the calculation gives -71.13 kJ/mol of atoms. The volume comes out at 24.629 A^3/atom.

Cell: 7.091 7.091 7.116 Å, 99.45 99.45 119.17°
Fractional positions:
Tb 0.070 0.412 0.741
Tb 0.235 0.235 0.244
Tb 0.412 0.070 0.741
Tb 0.588 0.930 0.259
Tb 0.765 0.765 0.756
Tb 0.930 0.588 0.259
Pd 0.000 0.000 0.500
Pd 0.171 0.829 0.000
Pd 0.342 0.658 0.500
Pd 0.658 0.342 0.500
Pd 0.829 0.171 0.000
Au 0.500 0.500 0.000

VASP calculation (PBE-GGA) on crystalline Tb3Pd2Au4 at its relaxed geometry.

Summary:
For the calculated formation energy, the calculation gives -76.01 kJ/mol of atoms. The volume comes out at 20.838 A^3/atom.

Cell: 8.705 8.705 5.261 Å, 98.97 98.97 73.59°
Fractional positions:
Tb 0.116 0.884 0.750
Tb 0.204 0.464 0.914
Tb 0.464 0.204 0.414
Tb 0.536 0.796 0.586
Tb 0.796 0.536 0.086
Tb 0.884 0.116 0.250
Pd 0.015 0.764 0.191
Pd 0.236 0.985 0.309
Pd 0.764 0.015 0.691
Pd 0.985 0.236 0.809
Au 0.105 0.338 0.355
Au 0.311 0.576 0.471
Au 0.338 0.105 0.855
Au 0.424 0.689 0.029
Au 0.576 0.311 0.971
Au 0.662 0.895 0.145
Au 0.689 0.424 0.529
Au 0.895 0.662 0.645

VASP calculation (PBE-GGA) on crystalline TbPd2Au8 at its relaxed geometry.

Summary:
For the calculated formation energy, the calculation gives -28.33 kJ/mol of atoms. The volume comes out at 18.273 A^3/atom.

Cell: 7.860 7.860 6.592 Å, 104.05 104.05 30.66°
Fractional positions:
Tb 0.000 0.000 0.000
Pd 0.274 0.274 0.367
Pd 0.726 0.726 0.633
Au 0.097 0.097 0.457
Au 0.185 0.185 0.913
Au 0.359 0.359 0.807
Au 0.450 0.450 0.279
Au 0.550 0.550 0.721
Au 0.641 0.641 0.193
Au 0.815 0.815 0.087
Au 0.903 0.903 0.543